1.
Computed, not measured: a relaxed LiCaCoP crystal at the PBE-GGA level of DFT.

POSCAR file:
```
LiCaCoP
1.0
-2.4261 1.0649 -2.6904
0.3585 -3.3733 -1.6585
-8.4343 -3.8807 6.0698
P Co Ca Li
2 2 2 2
Direct
0.7500 0.7500 0.8923 P
0.2500 0.2500 0.1077 P
0.7500 0.2500 0.0000 Co
0.2500 0.7500 0.0000 Co
0.7500 0.7500 0.2237 Ca
0.2500 0.2500 0.7763 Ca
0.2500 0.7500 0.5000 Li
0.7500 0.2500 0.5000 Li
```

Summary:
- Calculated formation energy: -2.220 eV/f.u.
- Symmetry: P4/nmm, No. 129
- VASP energy: -4.663 eV/atom

---

2.
Computed, not measured: a relaxed LiCaCo2Pd crystal at the PBE-GGA level of DFT.

POSCAR file:
```
LiCaCo2Pd
1.0
4.7162 0.0000 0.0000
0.0000 4.9845 0.0000
0.0000 0.0000 4.7162
Pd Co Li Ca
1 2 1 1
Direct
0.0000 0.5000 0.0000 Pd
0.5000 0.0000 0.0000 Co
0.0000 0.0000 0.5000 Co
0.5000 0.5000 0.5000 Li
0.0000 0.0000 0.0000 Ca
```

Summary:
- Calculated formation energy: 6.839 eV/f.u.
- Symmetry: P4/mmm, No. 123
- VASP energy: -3.296 eV/atom

---

3.
Computed, not measured: a relaxed LiCa2CoSi crystal at the PBE-GGA level of DFT.

POSCAR file:
```
LiCa2CoSi
1.0
5.3448 0.0000 0.0000
0.0000 5.3448 0.0000
0.0000 0.0000 4.3744
Ca Li Si Co
2 1 1 1
Direct
0.5000 0.0000 0.0000 Ca
0.0000 0.5000 0.0000 Ca
0.5000 0.5000 0.5000 Li
0.0000 0.0000 0.5000 Si
0.0000 0.0000 0.0000 Co
```

Summary:
- Symmetry: P4/mmm, No. 123
- VASP energy: -3.768 eV/atom

---

Results for DOS at the Fermi energy: 0.59; 1.19; 0.66 (in states/eV per atom, following the order of the records).